w:
The following is a PBE calculation of crystalline IrPbBr2 at its relaxed geometry, from the Alexandria database.

Results
calculated density: 8.30 Mg/m³
Fermi-level density of states: 4.03 states/eV/cell
size of the total moment: 0.0000 μB/atom

a b c (Å): 16.4526 3.4553 4.0569
angles (deg): 90.00 104.04 90.00
Element x y z (fractional)
Ir  0.0000  0.0000  0.0000
Ir  0.5000  0.5000  0.0000
Pb  0.3534  0.0000  0.8563
Pb  0.8534  0.5000  0.8563
Br  0.0266  0.5000  0.5264
Br  0.2508  0.5000  0.2558
Br  0.5266  0.0000  0.5264
Br  0.7508  0.0000  0.2558

***

x:
The following is a PBE calculation of crystalline IrPbBr2 at its relaxed geometry, from the Alexandria database.

Results
calculated density: 10.11 Mg/m³
Fermi-level density of states: 3.42 states/eV/cell
size of the total moment: 0.0001 μB/atom

a b c (Å): 4.9099 4.9099 3.8103
angles (deg): 90.00 90.00 90.00
Element x y z (fractional)
Ir  0.0000  0.0000  0.0000
Pb  0.5000  0.5000  0.0000
Br  0.0000  0.5000  0.5000
Br  0.5000  0.0000  0.5000

***

Energetically preferred structure: w | next structure: +42.4 kJ/mol of atoms